No. 1
A relaxed structure of NdDyThZn. Source: Alexandria, functional PBE.

Values from the calculation:
calculated formation energy	-0.1475	eV per atom

Cell: 3.6009 3.6009 8.6668 Å, 90.00 90.00 90.00°
With the nearest neighbours (Å) after each atom.
Sites, in units of the cell vectors:
Zn1 0.5000 0.5000 0.3319  4 Dy 3.09, 4 Nd 3.21
Th1 0.5000 0.5000 0.8139  4 Dy 3.52, 4 Nd 3.59, 4 Th 3.60
Nd1 0.0000 0.0000 0.1056  4 Zn 3.21, 4 Th 3.59
Dy1 0.0000 0.0000 0.5333  4 Zn 3.09

No. 2
A relaxed structure of Sr3LiTe3. Source: Alexandria, functional PBE.

Values from the calculation:
energy relative to the elements, uncorrected	-1390	meV per atom

Cell: 6.7987 10.6810 13.5336 Å, 90.00 90.00 108.56°
With the nearest neighbours (Å) after each atom.
Sites, in units of the cell vectors:
Te1 0.6091 0.6739 0.8809  1 Li 2.77
Te2 0.0648 0.6739 0.1191  1 Li 2.77
Te3 0.3909 0.3261 0.1191  1 Li 2.77
Te4 0.8909 0.3261 0.3809  1 Li 2.77
Te5 0.1091 0.6739 0.6191  1 Li 2.77
Te6 0.4352 0.3261 0.6191  1 Li 2.77
Te7 0.7775 0.0000 0.1153  2 Li 2.74
Te8 0.9352 0.3261 0.8809  1 Li 2.77
Te9 0.2225 0.0000 0.8847  2 Li 2.74
Te10 0.7225 0.0000 0.6153  2 Li 2.74
Te11 0.5648 0.6739 0.3809  1 Li 2.77
Te12 0.2775 0.0000 0.3847  2 Li 2.74
Li1 0.0825 0.1650 0.0000  4 Te 2.74-2.77
Li2 0.4175 0.8350 0.5000  4 Te 2.74-2.77
Li3 0.5825 0.1650 0.5000  4 Te 2.74-2.77
Li4 0.9175 0.8350 0.0000  4 Te 2.74-2.77
Sr1 0.8921 0.3469 0.1342  1 Li 3.22, 6 Te 3.32-3.54
Sr2 0.5452 0.6531 0.1342  1 Li 3.22, 6 Te 3.32-3.54
Sr3 0.9548 0.3469 0.6342  1 Li 3.22, 6 Te 3.32-3.54
Sr4 0.3921 0.3469 0.3658  1 Li 3.22, 6 Te 3.32-3.54
Sr5 0.6079 0.6531 0.6342  1 Li 3.22, 6 Te 3.32-3.54
Sr6 0.4548 0.3469 0.8658  1 Li 3.22, 6 Te 3.32-3.54
Sr7 0.7033 0.0000 0.8579  2 Li 3.25, 6 Te 3.29-3.55
Sr8 0.2967 0.0000 0.1421  2 Li 3.25, 6 Te 3.29-3.55
Sr9 0.0452 0.6531 0.3658  1 Li 3.22, 6 Te 3.32-3.54
Sr10 0.7967 0.0000 0.3579  2 Li 3.25, 6 Te 3.29-3.55
Sr11 0.1079 0.6531 0.8658  1 Li 3.22, 6 Te 3.32-3.54
Sr12 0.2033 0.0000 0.6421  2 Li 3.25, 6 Te 3.29-3.55

No. 3
A relaxed structure of Nb3TlCuCl9. Source: Alexandria, functional PBE.

Values from the calculation:
energy relative to the elements, uncorrected	-1124	meV per atom

Cell: 9.4023 9.4508 9.4547 Å, 119.46 96.35 105.35°
With the nearest neighbours (Å) after each atom.
Sites, in units of the cell vectors:
Cl1 0.9912 0.5843 0.7262  2 Nb 2.46-2.47
Cl2 0.9872 0.8588 0.5827  2 Nb 2.48
Cl3 0.3210 0.1755 0.9054  2 Nb 2.49
Cl4 0.3022 0.7620 0.6481  1 Cu 2.29
Cl5 0.3324 0.5719 0.1806  1 Cu 2.33
Cl6 0.3216 0.8976 0.0463  2 Nb 2.46-2.47
Cl7 0.0004 0.7238 0.1401  2 Nb 2.47-2.48
Cl8 0.0088 0.4157 0.2738  2 Nb 2.46-2.47
Cl9 0.3324 0.3160 0.3259  2 Nb 2.49
Cl10 0.6790 0.8245 0.0946  2 Nb 2.49
Cl11 0.6784 0.1024 0.9537  2 Nb 2.46-2.47
Cl12 0.6978 0.2380 0.3519  1 Cu 2.29
Cl13 0.0128 0.1412 0.4173  2 Nb 2.48
Cl14 0.3328 0.0461 0.4533  2 Cu 2.35-2.50
Cl15 0.6676 0.4281 0.8194  1 Cu 2.33
Cl16 0.9996 0.2762 0.8599  2 Nb 2.47-2.48
Cl17 0.6672 0.9539 0.5467  2 Cu 2.35-2.50
Cl18 0.6676 0.6840 0.6741  2 Nb 2.49
Cu1 0.3797 0.8132 0.4515  4 Cl 2.29-2.50
Cu2 0.6203 0.1868 0.5485  4 Cl 2.29-2.50
Tl1 0.3445 0.4848 0.7601  7 Cl 3.26-3.58
Tl2 0.6555 0.5152 0.2399  7 Cl 3.26-3.58
Nb1 0.8678 0.1032 0.1576  5 Cl 2.47-2.64
Nb2 0.8598 0.7495 0.9218  5 Cl 2.46-2.69
Nb3 0.1322 0.8968 0.8424  5 Cl 2.47-2.64
Nb4 0.1402 0.2505 0.0782  5 Cl 2.46-2.69
Nb5 0.1418 0.0154 0.1958  5 Cl 2.46-2.70
Nb6 0.8582 0.9846 0.8042  5 Cl 2.46-2.70

No. 4
A relaxed structure of MgPt2Se. Source: Alexandria, functional PBE.

Values from the calculation:
energy relative to the elements, uncorrected	-334	meV per atom
offset from the most stable computed form	0.0097	eV per atom

Cell: 3.9592 3.9592 9.5298 Å, 78.01 78.01 90.00°
With the nearest neighbours (Å) after each atom.
Sites, in units of the cell vectors:
Se1 0.7500 0.2500 0.5000  4 Pt 2.67, 4 Mg 2.80
Se2 0.0000 0.0000 0.0000  4 Pt 2.67, 4 Mg 2.80
Pt1 0.3750 0.3707 0.7500  2 Se 2.67, 2 Mg 2.68, 4 Pt 2.78-2.82
Pt2 0.8750 0.8793 0.7500  2 Se 2.67, 2 Mg 2.68, 4 Pt 2.78-2.82
Pt3 0.6293 0.1250 0.2500  2 Se 2.67, 2 Mg 2.68, 4 Pt 2.78-2.82
Pt4 0.1207 0.6250 0.2500  2 Se 2.67, 2 Mg 2.68, 4 Pt 2.78-2.82
Mg1 0.5000 0.5000 0.0000  4 Pt 2.68, 4 Se 2.80
Mg2 0.2500 0.7500 0.5000  4 Pt 2.68, 4 Se 2.80

No. 5
A relaxed structure of LaPm3Dy7. Source: Alexandria, functional PBE.

Values from the calculation:
calculated formation energy	0.2447	eV per atom
offset from the most stable computed form	0.1046	eV per atom

Cell: 5.8758 8.4885 8.4885 Å, 83.55 110.25 110.25°
With the nearest neighbours (Å) after each atom.
Sites, in units of the cell vectors:
Dy1 0.0000 0.5000 0.5000  2 La 2.94, 2 Pm 3.28
Dy2 0.2889 0.9810 0.5966  2 Pm 3.21-3.42, 2 Dy 3.33
Dy3 0.7111 0.4034 0.0190  2 Pm 3.21-3.42, 2 Dy 3.33
Dy4 0.2032 0.2036 0.2036  2 Pm 3.30, 1 La 3.32, 6 Dy 3.61-3.66
Dy5 0.2889 0.5966 0.9810  2 Pm 3.21-3.42, 2 Dy 3.33
Dy6 0.7111 0.0190 0.4034  2 Pm 3.21-3.42, 2 Dy 3.33
Dy7 0.7968 0.7964 0.7964  2 Pm 3.30, 1 La 3.32, 6 Dy 3.61-3.66
Pm1 0.0000 0.2103 0.7897  5 Dy 3.28-3.42
Pm2 0.5000 0.0000 0.0000  4 Dy 3.21
Pm3 0.0000 0.7897 0.2103  5 Dy 3.28-3.42
La1 0.5000 0.5000 0.5000  2 Dy 2.94

No. 6
A relaxed structure of Nd6Dy2Cd. Source: Alexandria, functional PBE.

Values from the calculation:
calculated formation energy	-0.0131	eV per atom
offset from the most stable computed form	0.0100	eV per atom

Cell: 5.1013 10.7609 10.7602 Å, 90.00 90.01 90.00°
With the nearest neighbours (Å) after each atom.
Sites, in units of the cell vectors:
Nd1 0.0001 0.3307 0.4981  1 Cd 3.56, 3 Dy 3.57-3.59, 8 Nd 3.59-3.65
Nd2 0.5001 0.1693 0.9981  1 Cd 3.56, 3 Dy 3.57-3.59, 8 Nd 3.59-3.65
Nd3 0.5000 0.4981 0.6693  1 Cd 3.56, 3 Dy 3.57-3.59, 8 Nd 3.59-3.65
Nd4 0.5000 0.5019 0.3307  1 Cd 3.56, 3 Dy 3.57-3.59, 8 Nd 3.59-3.65
Nd5 0.4999 0.8307 0.0019  1 Cd 3.56, 3 Dy 3.57-3.59, 8 Nd 3.59-3.65
Nd6 0.9999 0.6693 0.5019  1 Cd 3.56, 3 Dy 3.57-3.59, 8 Nd 3.59-3.65
Nd7 0.4999 0.8407 0.3407  2 Cd 3.52, 4 Dy 3.53-3.66, 6 Nd 3.59-3.65
Nd8 0.0000 0.9980 0.8307  1 Cd 3.56, 3 Dy 3.57-3.59, 8 Nd 3.59-3.65
Nd9 0.0001 0.3407 0.1593  2 Cd 3.52, 4 Dy 3.53-3.66, 6 Nd 3.59-3.65
Nd10 0.5001 0.1593 0.6593  2 Cd 3.52, 4 Dy 3.53-3.66, 6 Nd 3.59-3.65
Nd11 0.9999 0.6593 0.8407  2 Cd 3.52, 4 Dy 3.53-3.66, 6 Nd 3.59-3.65
Nd12 0.0000 0.0020 0.1693  1 Cd 3.56, 3 Dy 3.57-3.59, 8 Nd 3.59-3.65
Dy1 0.9999 0.6685 0.1685  10 Nd 3.53-3.66, 2 Cd 3.62
Dy2 0.4999 0.8315 0.6685  10 Nd 3.53-3.66, 2 Cd 3.62
Dy3 0.5001 0.1685 0.3315  10 Nd 3.53-3.66, 2 Cd 3.62
Dy4 0.0001 0.3315 0.8315  10 Nd 3.53-3.66, 2 Cd 3.62
Cd1 0.5000 0.5000 0.0000  8 Nd 3.52-3.56, 4 Dy 3.62
Cd2 0.0000 0.0000 0.5000  8 Nd 3.52-3.56, 4 Dy 3.62

No. 7
A relaxed structure of ScSi2Hg. Source: Alexandria, functional PBE.

Values from the calculation:
energy relative to the elements, uncorrected	-54	meV per atom

Cell: 3.3669 3.3669 6.5397 Å, 90.00 90.00 90.00°
With the nearest neighbours (Å) after each atom.
Sites, in units of the cell vectors:
Si1 0.5000 0.5000 0.1974  4 Si 2.60, 1 Sc 2.71
Si2 0.0000 0.0000 0.0386  4 Si 2.60, 1 Hg 2.89, 4 Sc 2.91
Sc1 0.5000 0.5000 0.7834  5 Si 2.71-2.91
Hg1 0.0000 0.0000 0.4806  5 Si 2.89-3.02, 4 Sc 3.10

No. 8
A relaxed structure of ZnAsRu2. Source: Alexandria, functional PBE.

Values from the calculation:
calculated formation energy	0.1519	eV per atom
offset from the most stable computed form	0.2522	eV per atom

Cell: 4.1502 4.1502 4.8495 Å, 64.71 64.71 59.99°
With the nearest neighbours (Å) after each atom.
Sites, in units of the cell vectors:
Zn1 0.4876 0.4876 0.5374  1 As 2.45, 4 Ru 2.68-2.73
As1 0.6810 0.6810 0.9572  1 Zn 2.45, 6 Ru 2.46-2.58
Ru1 0.2714 0.2714 0.1847  3 As 2.58, 4 Ru 2.68-2.85, 4 Zn 2.73-2.82
Ru2 0.0601 0.0601 0.8207  3 As 2.46-2.47, 3 Zn 2.68, 1 Ru 2.68

No. 9
A relaxed structure of LiIn9Pb2. Source: Alexandria, functional PBE.

Values from the calculation:
calculated formation energy	-0.0244	eV per atom

Cell: 7.7569 5.7020 8.2572 Å, 86.96 67.48 74.45°
With the nearest neighbours (Å) after each atom.
Sites, in units of the cell vectors:
In1 0.7422 0.2657 0.7521  9 In 3.25-3.46, 1 Li 3.42, 2 Pb 3.46-3.54
In2 0.4869 0.8435 0.8432  9 In 3.25-3.48, 2 Pb 3.34-3.46, 1 Li 3.36
In3 0.5000 0.5000 0.5000  8 In 3.32-3.53, 4 Pb 3.32-3.39
In4 0.7592 0.5706 0.0768  9 In 3.24-3.46, 2 Li 3.25-3.36, 1 Pb 3.41
In5 0.0114 0.3134 0.3253  8 In 3.24-3.60, 3 Pb 3.32-3.38, 1 Li 3.35
In6 0.5131 0.1565 0.1568  9 In 3.25-3.48, 2 Pb 3.34-3.46, 1 Li 3.36
In7 0.2408 0.4294 0.9232  9 In 3.24-3.46, 2 Li 3.25-3.36, 1 Pb 3.41
In8 0.2578 0.7343 0.2479  9 In 3.25-3.46, 1 Li 3.42, 2 Pb 3.46-3.54
In9 0.9886 0.6866 0.6747  8 In 3.24-3.60, 3 Pb 3.32-3.38, 1 Li 3.35
Pb1 0.2429 0.0936 0.5922  1 Li 3.27, 10 In 3.32-3.54, 1 Pb 3.55
Pb2 0.7571 0.9064 0.4078  1 Li 3.27, 10 In 3.32-3.54, 1 Pb 3.55
Li1 0.0000 0.0000 0.0000  10 In 3.25-3.42, 2 Pb 3.27

No. 10
A relaxed structure of La2ErIn. Source: Alexandria, functional PBE.

Values from the calculation:
calculated formation energy	-0.2710	eV per atom
offset from the most stable computed form	0.0000	eV per atom

Cell: 5.1237 4.9144 4.9144 Å, 90.00 90.00 90.00°
With the nearest neighbours (Å) after each atom.
Sites, in units of the cell vectors:
La1 0.0000 0.5000 0.0000  4 La 3.48, 4 In 3.55, 4 Er 3.55
La2 0.0000 0.0000 0.5000  4 La 3.48, 4 In 3.55, 4 Er 3.55
In1 0.5000 0.0000 0.0000  4 Er 3.48, 8 La 3.55
Er1 0.5000 0.5000 0.5000  4 In 3.48, 8 La 3.55

No. 11
A relaxed structure of AgBiN. Source: Alexandria, functional PBE.

Values from the calculation:
energy relative to the elements, uncorrected	655	meV per atom
offset from the most stable computed form	0.0818	eV per atom

Cell: 5.8848 8.4186 14.6670 Å, 10.73 101.65 103.92°
With the nearest neighbours (Å) after each atom.
Sites, in units of the cell vectors:
N1 0.6098 0.2661 0.8271  1 Ag 2.20, 3 Bi 2.30
N2 0.9363 0.0179 0.8445  1 Ag 2.20, 3 Bi 2.30
Bi1 0.0190 0.6550 0.6331  3 N 2.30
Bi2 0.5271 0.6291 0.0386  3 N 2.30
Ag1 0.0960 0.8024 0.2968  1 N 2.20
Ag2 0.4501 0.4817 0.3749  1 N 2.20

No. 12
A relaxed structure of BaSrHg2. Source: Alexandria, functional PBE.

Values from the calculation:
calculated formation energy	0.1372	eV per atom

Cell: 7.8921 7.8921 7.8921 Å, 149.96 63.02 126.02°
With the nearest neighbours (Å) after each atom.
Sites, in units of the cell vectors:
Hg1 0.7555 0.0000 0.7555  1 Sr 3.29, 1 Ba 3.44
Hg2 0.2445 0.0000 0.2445  1 Sr 3.29, 1 Ba 3.44
Ba1 0.5000 0.0000 0.5000  2 Hg 3.44
Sr1 0.0000 0.0000 0.0000  2 Hg 3.29

These records have size of the total moment values of 0.00; 0.00; 0.13; 0.00; 0.00; 0.00; 0.00; 0.00; 0.00; 0.00; 0.00; 0.01 μB per formula unit, in the order they appear.